(1)
Entry from the Alexandria database: an optimized crystal structure of TcPt2Rh (GGA-PBEsol).

## Properties
The energy relative to the lowest polymorph listed for this composition comes out at 47.9 meV per atom. For the energy of formation, the calculation gives -0.116 eV/atom. As for the raw total energy: -33.80 eV for the cell shown.

The structure in CIF format:
```
data_TcPt2Rh
_chemical_formula_sum 'Tc1 Pt2 Rh1'
_space_group_name_H-M_alt 'P m m m'
_space_group_IT_number 47
_cell_length_a 2.7044
_cell_length_b 3.8895
_cell_length_c 5.4059
_cell_angle_alpha 90.00
_cell_angle_beta 90.00
_cell_angle_gamma 90.00
loop_
_space_group_symop_operation_xyz
'x,y,z'
'-x,-y,-z'
'-x,-y,z'
'x,y,-z'
'x,-y,-z'
'-x,y,z'
'-x,y,-z'
'x,-y,z'
loop_
_atom_site_label
_atom_site_type_symbol
_atom_site_fract_x
_atom_site_fract_y
_atom_site_fract_z
_atom_site_occupancy
Tc1 Tc 0.0000 0.0000 0.0000 1
Pt1 Pt 0.5000 0.5000 0.2452 1
Rh1 Rh 0.0000 0.0000 0.5000 1
```

(2)
Entry from the Alexandria database: an optimized crystal structure of TcPtRh2 (GGA-PBEsol).

## Properties
The energy relative to the lowest polymorph listed for this composition comes out at 44.1 meV per atom. For the energy of formation, the calculation gives -0.085 eV/atom. As for the raw total energy: -69.69 eV for the cell shown.

The structure in CIF format:
```
data_TcPtRh2
_chemical_formula_sum 'Tc2 Pt2 Rh4'
_space_group_name_H-M_alt 'C 1 m 1'
_space_group_IT_number 8
_cell_length_a 8.9882
_cell_length_b 2.6832
_cell_length_c 4.6666
_cell_angle_alpha 90.00
_cell_angle_beta 99.83
_cell_angle_gamma 90.00
loop_
_space_group_symop_operation_xyz
'x,y,z'
'x,-y,z'
'x+1/2,y+1/2,z'
'x+1/2,-y+1/2,z'
loop_
_atom_site_label
_atom_site_type_symbol
_atom_site_fract_x
_atom_site_fract_y
_atom_site_fract_z
_atom_site_occupancy
Tc1 Tc 0.0000 0.0000 0.0000 1
Pt1 Pt 0.2504 0.5000 0.2543 1
Rh1 Rh 0.0033 0.5000 0.5103 1
Rh2 Rh 0.2532 0.0000 0.7616 1
```

(3)
Entry from the Alexandria database: an optimized crystal structure of TcPtRh2 (GGA-PBEsol).

## Properties
The energy relative to the lowest polymorph listed for this composition comes out at 73.8 meV per atom. For the energy of formation, the calculation gives -0.055 eV/atom. As for the raw total energy: -34.73 eV for the cell shown.

The structure in CIF format:
```
data_TcPtRh2
_chemical_formula_sum 'Tc1 Pt1 Rh2'
_space_group_name_H-M_alt 'P 4/m m m'
_space_group_IT_number 123
_space_group_name_Hall '-P 4 2'
_cell_length_a 3.8277
_cell_length_b 3.8277
_cell_length_c 3.7836
_cell_angle_alpha 90.00
_cell_angle_beta 90.00
_cell_angle_gamma 90.00
loop_
_atom_site_label
_atom_site_type_symbol
_atom_site_fract_x
_atom_site_fract_y
_atom_site_fract_z
_atom_site_occupancy
Tc1 Tc 0.0000 0.0000 0.0000 1
Pt1 Pt 0.5000 0.5000 0.0000 1
Rh1 Rh 0.0000 0.5000 0.5000 1
```

Which value of raw total energy does entry 3 give? -34.73 eV for the cell shown

Look up the energy relative to the lowest polymorph listed for this composition of the second one. 44.1 meV per atom

Number 2 is which compound? TcPtRh2

Which value of energy relative to the lowest polymorph listed for this composition does entry 1 give? 47.9 meV per atom